ZrInBr6 | PBE | optimized geometry

The volume is 33.0 Å³/atom. As for the total DFT energy (no corrections): -89.34 eV for the cell shown. For the uncorrected formation energy, the calculation gives -1057 meV per atom.

The structure belongs to space group R-3 (No. 148, hexagonal axes); the cell edges are 6.9691, 6.9691 and 18.8468 Å and the angles 90.00°, 90.00° and 120.00°. The asymmetric unit holds Zr at (0.0000, 0.0000, 0.0000), In at (0.0000, 0.0000, 0.5000) and Br at (0.0057, 0.6897, 0.9194).